Record 1
ZrNi2N: relaxed, PBE. Values from VASP.

Summary:
ΔE_f (raw) = -0.64 eV/atom
D(E_F) = 5.2 states/eV/f.u.

Quantum ESPRESSO input file:
```
&SYSTEM
  ibrav = 0, nat = 4, ntyp = 3
/
ATOMIC_SPECIES
Zr 91.22 Zr.upf
Ni 58.69 Ni.upf
N 14.01 N.upf
CELL_PARAMETERS angstrom
-1.578 1.578 4.934
1.578 -1.578 4.934
1.578 1.578 -4.934
ATOMIC_POSITIONS angstrom
Zr 0.000 0.000 0.000
Ni 0.000 0.000 3.008
Ni 0.000 0.000 6.860
N 0.000 0.000 4.934
```

=====

Record 2
ZrNi2N: relaxed, PBE. Values from VASP.

Summary:
ΔE_f (raw) = 0.08 eV/atom
D(E_F) = 4.7 states/eV/f.u.

Quantum ESPRESSO input file:
```
&SYSTEM
  ibrav = 0, nat = 8, ntyp = 3
/
ATOMIC_SPECIES
Zr 91.22 Zr.upf
Ni 58.69 Ni.upf
N 14.01 N.upf
CELL_PARAMETERS angstrom
-2.751 2.751 3.786
2.751 -2.751 3.786
2.751 2.751 -3.786
ATOMIC_POSITIONS angstrom
Zr 0.000 0.000 0.000
Zr 0.000 2.751 1.893
Ni 1.376 -0.612 2.839
Ni 2.139 1.376 0.946
Ni 1.376 3.364 -0.946
Ni 0.612 1.376 4.732
N 2.751 0.000 1.893
N 0.000 0.000 3.786
```

=====

Record 3
Zr2Ni2N: relaxed, PBE. Values from VASP.

Summary:
ΔE_f (raw) = 0.23 eV/atom
D(E_F) = 2.9 states/eV/f.u.

Quantum ESPRESSO input file:
```
&SYSTEM
  ibrav = 0, nat = 10, ntyp = 3
/
ATOMIC_SPECIES
Zr 91.22 Zr.upf
Ni 58.69 Ni.upf
N 14.01 N.upf
CELL_PARAMETERS angstrom
6.571 0.000 0.000
0.000 6.571 0.000
0.000 0.000 3.437
ATOMIC_POSITIONS angstrom
Zr 1.173 2.112 0.000
Zr 2.112 5.398 0.000
Zr 4.459 1.173 0.000
Zr 5.398 4.459 0.000
Ni 0.829 4.114 1.718
Ni 2.457 0.829 1.718
Ni 4.114 5.743 1.718
Ni 5.743 2.457 1.718
N 0.000 0.000 1.718
N 3.286 3.286 1.718
```

=====

Record 4
ZrNi2N: relaxed, PBE. Values from VASP.

Summary:
ΔE_f (raw) = -0.58 eV/atom
D(E_F) = 2.7 states/eV/f.u.

Quantum ESPRESSO input file:
```
&SYSTEM
  ibrav = 0, nat = 8, ntyp = 3
/
ATOMIC_SPECIES
Zr 91.22 Zr.upf
Ni 58.69 Ni.upf
N 14.01 N.upf
CELL_PARAMETERS angstrom
4.333 -2.200 0.000
4.333 2.200 0.000
-1.724 0.000 5.268
ATOMIC_POSITIONS angstrom
Zr 0.736 0.000 1.615
Zr 6.205 0.000 3.653
Ni 0.093 0.000 4.502
Ni 4.333 0.000 0.000
Ni 3.471 0.000 2.634
Ni 6.849 0.000 0.766
N 1.812 0.000 3.540
N 5.129 0.000 1.728
```